Entry 1:
VASP calculation (PBE) on crystalline Sc2Co2Sn at its relaxed geometry.

abc: 5.085 5.291 7.581
angles: 103.83 90.00 118.72
Sites, in units of the cell vectors:
1 Sn 0.830 0.000 0.250
2 Co 0.006 0.710 0.996
3 Co 0.994 0.290 0.004
4 Sn 0.170 0.000 0.750
5 Co 0.704 0.710 0.496
6 Sc 0.186 0.702 0.352
7 Sc 0.484 0.298 0.148
8 Sc 0.814 0.298 0.648
9 Co 0.296 0.290 0.504
10 Sc 0.516 0.702 0.852

Formation energy ... -0.434 eV/atom

---

Entry 2:
VASP calculation (PBE) on crystalline Pm2Er2Hg at its relaxed geometry.

abc: 3.600 3.600 11.855
angles: 98.73 98.73 90.00
Sites, in units of the cell vectors:
1 Pm 0.807 0.807 0.613
2 Er 0.416 0.416 0.832
3 Er 0.584 0.584 0.168
4 Pm 0.193 0.193 0.387
5 Hg 0.000 0.000 0.000

Formation energy ... -0.181 eV/atom
Excess energy over the best structure of this formula in the dataset ... 0 meV per atom

---

Entry 3:
VASP calculation (PBE) on crystalline IrPtS2N at its relaxed geometry.

abc: 4.815 4.815 3.608
angles: 90.00 90.00 90.00
Sites, in units of the cell vectors:
1 S 0.500 0.000 0.000
2 Ir 0.000 0.000 0.000
3 Pt 0.500 0.500 0.500
4 N 0.000 0.000 0.500
5 S 0.000 0.500 0.000

Excess energy over the best structure of this formula in the dataset ... 0 meV per atom
Raw formation energy ... 0.819 eV/atom

---

| no. | uncorrected energy (eV per cell) |
| --- | --- |
| 1 | -66.1 |
| 2 | -19.8 |
| 3 | -27.4 |